Entry from OQMD: a geometry-optimized CoAgTe3Pb structure (PBE).

Values from the calculation:
magnetic moment = 0.0 μB per cell
VASP energy = -93.50 eV for the cell shown

Cell lengths 3.7562, 15.1411, 11.1021 Å; angles 90.00, 90.00, 90.00 degrees
Last column: nearest neighbours and their distance in Å.
Space group Cmcm (No. 63)
Inequivalent atoms, fractional coordinates:
Co (0.0000, 0.0000, 0.0000) x4  6 Te 2.54-2.79
Ag (0.0000, 0.3590, 0.2500) x4  4 Te 2.75-3.07, 2 Pb 3.01
Te (0.0000, 0.0196, 0.2500) x4  2 Co 2.79, 2 Ag 3.07
Te (0.0000, 0.3867, 0.0056) x8  2 Co 2.54, 1 Ag 2.75
Pb (0.0000, 0.2962, 0.7500) x4  2 Ag 3.01, 4 Te 3.15-3.36

***

Entry from OQMD: a geometry-optimized Cs2WSe4 structure (PBE).

Values from the calculation:
magnetic moment = 0.0 μB per cell
VASP energy = -139.51 eV for the cell shown

Cell lengths 10.7202, 7.5730, 13.4652 Å; angles 90.00, 90.00, 90.00 degrees
Last column: nearest neighbours and their distance in Å.
Space group Pnma (No. 62)
Inequivalent atoms, fractional coordinates:
Cs (0.0428, 0.2500, 0.1635) x4  9 Se 3.58-3.89
Cs (0.1583, 0.7500, 0.3885) x4  8 Se 3.84-4.04
W (0.2491, 0.7500, 0.0719) x4  4 Se 2.34-2.35
Se (0.0349, 0.7500, 0.1082) x4  1 W 2.35
Se (0.1573, 0.9998, 0.6407) x8  1 W 2.34
Se (0.2183, 0.2500, 0.4001) x4  1 W 2.34

***

Entry from OQMD: a geometry-optimized Cu3Mo2W4C3 structure (PBE).

Values from the calculation:
magnetic moment = 0.0 μB per cell
VASP energy = -439.06 eV for the cell shown

Cell lengths 9.1862, 5.2974, 13.3491 Å; angles 90.00, 103.30, 90.00 degrees
Last column: nearest neighbours and their distance in Å.
Space group C2/c (No. 15)
Inequivalent atoms, fractional coordinates:
Cu (0.0000, 0.0086, 0.2500) x4  4 W 2.67-2.68, 4 Cu 2.78-2.79, 2 Mo 2.97
Cu (0.2029, 0.3817, 0.7512) x8  4 W 2.66-2.67, 4 Cu 2.78-2.79, 2 Mo 2.93-2.95
Mo (0.0487, 0.4191, 0.4053) x8  3 C 2.13-2.18
W (0.1119, 0.0877, 0.5861) x8  3 C 2.08-2.12
W (0.2235, 0.0810, 0.9139) x8  3 C 2.08-2.12
C (0.0827, 0.2525, 0.0000) x8  4 W 2.08-2.12, 2 Mo 2.13
C (0.2500, 0.2500, 0.5000) x4  4 W 2.08, 2 Mo 2.18

***

Entry from OQMD: a geometry-optimized DyHoAlCo2 structure (PBE).

Values from the calculation:
magnetic moment = 0.9 μB per cell
polymorph energy (0 for the lowest one) = 1.97 kcal/mol of atoms

Cell lengths 3.8803, 3.7497, 13.1341 Å; angles 90.00, 90.00, 90.00 degrees
Last column: nearest neighbours and their distance in Å.
Space group Amm2 (No. 38)
Inequivalent atoms, fractional coordinates:
Dy (0.0000, 0.0000, 0.0000) x2  6 Co 2.83-2.92
Ho (0.0000, 0.0000, 0.7311) x2  6 Co 2.83-2.92
Al (0.5000, 0.0000, 0.3652) x2  2 Co 2.61-2.63
Co (0.5000, 0.0000, 0.1666) x2  2 Co 2.30
Co (0.5000, 0.0000, 0.5653) x2  2 Co 2.30

***

Entry from OQMD: a geometry-optimized NaLaFeTe structure (PBE).

Values from the calculation:
magnetic moment = 12.7 μB per cell
polymorph energy (0 for the lowest one) = 4.05 kcal/mol of atoms

Cell lengths 7.4102, 7.4102, 7.4102 Å; angles 90.00, 90.00, 90.00 degrees
Last column: nearest neighbours and their distance in Å.
Space group F-43m (No. 216)
Inequivalent atoms, fractional coordinates:
Na (0.0000, 0.0000, 0.0000) x4  4 Fe 3.21, 4 La 3.21
La (0.2500, 0.2500, 0.2500) x4  4 Na 3.21, 4 Te 3.21
Fe (0.2500, 0.2500, 0.7500) x4  4 Na 3.21, 4 Te 3.21
Te (0.0000, 0.0000, 0.5000) x4  4 La 3.21, 4 Fe 3.21

***

Entry from OQMD: a geometry-optimized ReTcN3 structure (PBE).

Values from the calculation:
magnetic moment = 0.0 μB per cell
VASP energy = -92.62 eV for the cell shown

Cell lengths 5.1104, 5.1104, 6.2259 Å; angles 90.00, 90.00, 120.00 degrees
Last column: nearest neighbours and their distance in Å.
Space group P-31m (No. 162)
Inequivalent atoms, fractional coordinates:
Re (0.0000, 0.0000, 0.2083) x2  3 N 1.82
Tc (0.3333, 0.6667, 0.5000) x2  6 N 2.07
N (0.0000, 0.3327, 0.6891) x6  1 Re 1.82

***

Entry from OQMD: a geometry-optimized Pm2BiO4 structure (PBE).

Values from the calculation:
magnetic moment = 8.0 μB per cell
VASP energy = -402.95 eV for the cell shown

Cell lengths 10.0562, 10.0562, 10.0562 Å; angles 90.00, 90.00, 90.00 degrees
Last column: nearest neighbours and their distance in Å.
Space group Fd-3m (No. 227, origin choice 2)
Inequivalent atoms, fractional coordinates:
Pm (0.0000, 0.0000, 0.0000) x16  6 O 2.36
Bi (0.1250, 0.1250, 0.6250) x8  4 O 2.46
O (0.0162, 0.0162, 0.2338) x32  3 Pm 2.36, 1 Bi 2.46

***

Entry from OQMD: a geometry-optimized LaYGe4Os2 structure (PBE).

Values from the calculation:
magnetic moment = 0.0 μB per cell
VASP energy = -56.36 eV for the cell shown

Cell lengths 4.5187, 4.4447, 8.4245 Å; angles 90.00, 104.39, 90.00 degrees
Last column: nearest neighbours and their distance in Å.
Space group Pm (No. 6)
Inequivalent atoms, fractional coordinates:
La (0.0000, 0.0000, 0.0000) x1  9 Ge 3.06-3.34, 3 Os 3.28-3.40
Y (0.7795, 0.5000, 0.5806) x1  6 Ge 2.98-3.29, 3 Os 3.22-3.29
Ge (0.0749, 0.5000, 0.3008) x1  4 Os 2.42-2.51
Ge (0.3504, 0.0000, 0.7051) x1  1 Os 2.40, 2 Ge 2.65
Ge (0.4353, 0.5000, 0.8822) x1  1 Os 2.45, 2 Ge 2.65
Ge (0.7145, 0.0000, 0.2939) x1  4 Os 2.41-2.51
Os (0.2823, 0.0000, 0.4132) x1  5 Ge 2.40-2.51
Os (0.5075, 0.5000, 0.1798) x1  5 Ge 2.42-2.51

***

Entry from OQMD: a geometry-optimized Li4AlGaPt2 structure (PBE).

Values from the calculation:
magnetic moment = 0.0 μB per cell
VASP energy = -32.01 eV for the cell shown

Cell lengths 4.2712, 4.2712, 6.0272 Å; angles 90.00, 90.00, 90.00 degrees
Last column: nearest neighbours and their distance in Å.
Space group P-4m2 (No. 115)
Inequivalent atoms, fractional coordinates:
Li (0.0000, 0.0000, 0.0000) x1  4 Pt 2.60, 4 Li 2.63
Li (0.0000, 0.5000, 0.7462) x2  4 Li 2.60-2.63, 2 Ga 2.60, 2 Al 2.63
Li (0.5000, 0.5000, 0.5000) x1  4 Li 2.60, 4 Pt 2.63
Al (0.5000, 0.5000, 0.0000) x1  4 Pt 2.60, 4 Li 2.63
Ga (0.0000, 0.0000, 0.5000) x1  4 Li 2.60, 4 Pt 2.63
Pt (0.0000, 0.5000, 0.2452) x2  4 Li 2.60-2.63, 2 Al 2.60, 2 Ga 2.63

***

Entry from OQMD: a geometry-optimized MgNbCuSb structure (PBE).

Values from the calculation:
magnetic moment = 0.2 μB per cell
polymorph energy (0 for the lowest one) = 0.00 kcal/mol of atoms

Cell lengths 6.6327, 6.6327, 6.6327 Å; angles 90.00, 90.00, 90.00 degrees
Last column: nearest neighbours and their distance in Å.
Space group F-43m (No. 216)
Inequivalent atoms, fractional coordinates:
Mg (0.0000, 0.0000, 0.0000) x4  4 Nb 2.87, 4 Cu 2.87
Nb (0.2500, 0.2500, 0.2500) x4  4 Sb 2.87, 4 Mg 2.87
Cu (0.2500, 0.2500, 0.7500) x4  4 Sb 2.87, 4 Mg 2.87
Sb (0.0000, 0.0000, 0.5000) x4  4 Nb 2.87, 4 Cu 2.87

***

Entry from OQMD: a geometry-optimized NdZr2 structure (PBE).

Values from the calculation:
magnetic moment = 0.0 μB per cell
polymorph energy (0 for the lowest one) = 1.23 kcal/mol of atoms

Cell lengths 5.3835, 10.0657, 5.8598 Å; angles 90.00, 90.00, 90.00 degrees
Last column: nearest neighbours and their distance in Å.
Space group Pmmn (No. 59, origin choice 2)
Inequivalent atoms, fractional coordinates:
Nd (0.2500, 0.0861, 0.0918) x4  3 Nd 3.30-3.38, 9 Zr 3.30-3.59
Zr (0.2500, 0.2500, 0.5939) x2  8 Zr 3.23-3.46, 4 Nd 3.35-3.37
Zr (0.2500, 0.5936, 0.5633) x4  7 Zr 3.13-3.46, 3 Nd 3.30-3.37
Zr (0.2500, 0.7500, 0.1017) x2  4 Zr 3.13-3.23, 6 Nd 3.35-3.38